[1]
Crystalline BaNiMo2 at its relaxed geometry. Source: the Alexandria database, functional PBE.

a = 4.6916 Å, b = 4.6916 Å, c = 3.3065 Å
α = 90.00°, β = 90.00°, γ = 90.00°
Space group P4/mmm (No. 123)
Unique sites:
Ba  0.0000  0.0000  0.0000
Ni  0.5000  0.5000  0.0000
Mo  0.0000  0.5000  0.5000

Results
* VASP energy: -5.84 eV/atom
* size of the total moment: 0.000 μB per atom
* energy of formation: 6.02 eV per formula unit

---

[2]
Crystalline Ba2NiMo at its relaxed geometry. Source: the Alexandria database, functional PBE.

a = 3.8397 Å, b = 3.8397 Å, c = 8.0977 Å
α = 90.00°, β = 90.00°, γ = 90.00°
Space group P4/mmm (No. 123)
Unique sites:
Ba  0.0000  0.0000  0.2288
Ni  0.5000  0.5000  0.0000
Mo  0.5000  0.5000  0.5000

Results
* VASP energy: -4.17 eV/atom
* size of the total moment: 0.953 μB per atom
* energy of formation: 3.79 eV per formula unit

---

[3]
Crystalline BaNiMo at its relaxed geometry. Source: the Alexandria database, functional PBE.

a = 6.8140 Å, b = 6.8140 Å, c = 6.8140 Å
α = 90.00°, β = 90.00°, γ = 90.00°
Space group F-43m (No. 216)
Unique sites:
Ba  0.0000  0.0000  0.0000
Ni  0.2500  0.2500  0.2500
Mo  0.2500  0.2500  0.7500

Results
* VASP energy: -4.24 eV/atom
* size of the total moment: 1.232 μB per atom
* energy of formation: 5.83 eV per formula unit